[1]
Pm7Ho2Th2, optimized geometry, DFT PBE; energy relative to the lowest polymorph listed for this composition = 9 meV/atom; E_form = 0.183 eV/atom; uncorrected energy = -0.3691 Ry/atom; total moment = 0.0 μB per cell; V = 33.90 A^3/atom
1.0
5.782 -5.767 0.000
5.782 5.767 0.000
-2.320 0.000 5.593
Pm Ho Th
7 2 2
direct
0.000 0.000 0.000
0.045 0.591 0.825
0.409 0.955 0.175
0.428 0.428 0.202
0.572 0.572 0.798
0.591 0.045 0.825
0.955 0.409 0.175
0.226 0.226 0.598
0.774 0.774 0.402
0.214 0.786 0.500
0.786 0.214 0.500

[2]
PmHo2Th, optimized geometry, DFT PBE; energy relative to the lowest polymorph listed for this composition = 16 meV/atom; E_form = 0.012 eV/atom; uncorrected energy = -0.3910 Ry/atom; total moment = 0.0 μB per cell; V = 32.14 A^3/atom
1.0
1.795 1.037 11.512
-1.795 1.037 11.512
0.000 -2.073 11.512
Pm Ho Th
1 2 1
direct
0.000 0.000 0.000
0.581 0.581 0.581
0.752 0.752 0.752
0.166 0.166 0.166

[3]
Pm2Ho5Th5, optimized geometry, DFT PBE; E_form = 0.047 eV/atom; uncorrected energy = -0.4222 Ry/atom; total moment = 0.0 μB per cell; V = 32.14 A^3/atom
1.0
7.579 -2.519 0.000
7.579 2.519 0.000
-5.074 0.000 10.102
Pm Ho Th
2 5 5
direct
0.083 0.083 0.249
0.917 0.917 0.751
0.332 0.332 0.496
0.415 0.415 0.252
0.500 0.500 0.000
0.585 0.585 0.748
0.668 0.668 0.504
0.000 0.000 0.500
0.170 0.170 0.001
0.248 0.248 0.752
0.752 0.752 0.248
0.830 0.830 0.999

[4]
Pm3Ho12Th, optimized geometry, DFT PBE; E_form = 0.024 eV/atom; uncorrected energy = -0.3502 Ry/atom; total moment = 0.0 μB per cell; V = 31.68 A^3/atom
1.0
5.022 0.000 0.000
0.000 5.022 0.000
0.000 0.000 20.094
Pm Ho Th
3 12 1
direct
0.000 0.000 0.000
0.000 0.000 0.251
0.000 0.000 0.749
0.000 0.500 0.126
0.000 0.500 0.378
0.000 0.500 0.622
0.000 0.500 0.874
0.500 0.000 0.126
0.500 0.000 0.378
0.500 0.000 0.622
0.500 0.000 0.874
0.500 0.500 0.000
0.500 0.500 0.250
0.500 0.500 0.500
0.500 0.500 0.750
0.000 0.000 0.500

[5]
PmHoTh2, optimized geometry, DFT PBE; energy relative to the lowest polymorph listed for this composition = 17 meV/atom; E_form = 0.047 eV/atom; uncorrected energy = -0.4407 Ry/atom; total moment = 0.0 μB per cell; V = 32.39 A^3/atom
1.0
1.788 1.032 11.702
-1.788 1.032 11.702
0.000 -2.064 11.702
Pm Ho Th
1 1 2
direct
0.000 0.000 0.000
0.170 0.170 0.170
0.584 0.584 0.584
0.753 0.753 0.753

[6]
Pm7Ho12Th, optimized geometry, DFT PBE; E_form = 0.237 eV/atom; uncorrected energy = -0.3339 Ry/atom; total moment = 0.0 μB per cell; V = 33.34 A^3/atom
1.0
6.132 3.540 5.120
-6.132 3.540 5.120
0.000 -7.080 5.120
Pm Ho Th
7 12 1
direct
0.000 0.000 0.000
0.120 0.454 0.339
0.339 0.120 0.454
0.454 0.339 0.120
0.546 0.661 0.880
0.661 0.880 0.546
0.880 0.546 0.661
0.003 0.117 0.648
0.117 0.648 0.003
0.214 0.756 0.634
0.244 0.366 0.786
0.352 0.997 0.883
0.366 0.786 0.244
0.634 0.214 0.756
0.648 0.003 0.117
0.756 0.634 0.214
0.786 0.244 0.366
0.883 0.352 0.997
0.997 0.883 0.352
0.500 0.500 0.500

[7]
Pm12Ho6Th, optimized geometry, DFT PBE; E_form = 0.130 eV/atom; uncorrected energy = -0.3460 Ry/atom; total moment = 0.0 μB per cell; V = 33.95 A^3/atom
1.0
6.060 3.499 5.071
-6.060 3.499 5.071
0.000 -6.997 5.071
Pm Ho Th
12 6 1
direct
0.016 0.357 0.197
0.197 0.016 0.357
0.219 0.563 0.464
0.357 0.197 0.016
0.437 0.536 0.781
0.464 0.219 0.563
0.536 0.781 0.437
0.563 0.464 0.219
0.643 0.803 0.984
0.781 0.437 0.536
0.803 0.984 0.643
0.984 0.643 0.803
0.098 0.256 0.701
0.256 0.701 0.098
0.299 0.902 0.744
0.701 0.098 0.256
0.744 0.299 0.902
0.902 0.744 0.299
0.000 0.000 0.000

[8]
Pm2Ho2Th, optimized geometry, DFT PBE; energy relative to the lowest polymorph listed for this composition = 41 meV/atom; E_form = 0.054 eV/atom; uncorrected energy = -0.3793 Ry/atom; total moment = 0.0 μB per cell; V = 32.41 A^3/atom
1.0
5.385 0.000 0.000
0.000 3.528 0.000
-2.683 0.000 8.529
Pm Ho Th
2 2 1
direct
0.198 0.000 0.396
0.802 0.000 0.604
0.397 0.500 0.794
0.603 0.500 0.206
0.000 0.000 0.000

[9]
Pm4Ho5Th, optimized geometry, DFT PBE; energy relative to the lowest polymorph listed for this composition = 89 meV/atom; E_form = 0.279 eV/atom; uncorrected energy = -0.3419 Ry/atom; total moment = 0.0 μB per cell; V = 33.94 A^3/atom
1.0
-5.250 5.250 3.079
5.250 -5.250 3.079
5.250 5.250 -3.079
Pm Ho Th
4 5 1
direct
0.000 0.320 0.320
0.000 0.680 0.680
0.320 0.000 0.320
0.680 0.000 0.680
0.243 0.243 0.000
0.308 0.308 0.624
0.308 0.683 0.000
0.683 0.308 0.000
0.683 0.683 0.376
0.771 0.771 0.000

[10]
Pm12Ho5Th, optimized geometry, DFT PBE; E_form = 0.084 eV/atom; uncorrected energy = -0.3503 Ry/atom; total moment = 0.0 μB per cell; V = 33.38 A^3/atom
1.0
6.089 -8.480 0.000
6.089 8.480 0.000
-0.025 0.000 5.818
Pm Ho Th
12 5 1
direct
0.028 0.674 0.994
0.170 0.530 0.504
0.200 0.200 0.444
0.302 0.302 0.947
0.326 0.972 0.006
0.470 0.830 0.496
0.530 0.170 0.504
0.674 0.028 0.994
0.698 0.698 0.053
0.800 0.800 0.556
0.830 0.470 0.496
0.972 0.326 0.006
0.136 0.864 0.500
0.362 0.638 0.000
0.500 0.500 0.500
0.638 0.362 0.000
0.864 0.136 0.500
0.000 0.000 0.000

[11]
PmHo5Th4, optimized geometry, DFT PBE; E_form = 0.034 eV/atom; uncorrected energy = -0.4188 Ry/atom; total moment = 0.0 μB per cell; V = 31.76 A^3/atom
1.0
3.578 0.000 0.000
1.787 7.712 0.000
0.010 2.498 11.508
Pm Ho Th
1 5 4
direct
0.000 0.000 0.000
0.204 0.593 0.601
0.399 0.202 0.200
0.500 0.000 0.500
0.601 0.798 0.800
0.796 0.407 0.399
0.100 0.800 0.300
0.297 0.405 0.898
0.703 0.595 0.102
0.900 0.200 0.700